No. 1
Al4CrOs: relaxed, GGA-PBE.

Structure (CIF):
```
data_Al4CrOs
_chemical_formula_sum 'Al16 Cr4 Os4'
_cell_length_a 7.073
_cell_length_b 7.073
_cell_length_c 7.073
_cell_angle_alpha 90.00
_cell_angle_beta 90.00
_cell_angle_gamma 90.00
_space_group_name_H-M_alt 'F -4 3 m'
_space_group_IT_number 216
_space_group_name_Hall 'F -4 2 3'
loop_
_atom_site_label
_atom_site_type_symbol
_atom_site_fract_x
_atom_site_fract_y
_atom_site_fract_z
Al1 Al 0.125 0.125 0.125
Cr1 Cr 0.250 0.250 0.750
Os1 Os 0.000 0.000 0.500
```

Values from the calculation:
Magnetic moment ... 15.6 μB/cell
Formation enthalpy at 0 K ... 0.18 eV per atom


No. 2
AlCrOs2: relaxed, GGA-PBE.

Structure (CIF):
```
data_AlCrOs2
_chemical_formula_sum 'Al4 Cr4 Os8'
_cell_length_a 6.034
_cell_length_b 6.034
_cell_length_c 6.034
_cell_angle_alpha 90.00
_cell_angle_beta 90.00
_cell_angle_gamma 90.00
_space_group_name_H-M_alt 'F -4 3 m'
_space_group_IT_number 216
_space_group_name_Hall 'F -4 2 3'
loop_
_atom_site_label
_atom_site_type_symbol
_atom_site_fract_x
_atom_site_fract_y
_atom_site_fract_z
Al1 Al 0.000 0.000 0.000
Cr1 Cr 0.250 0.250 0.250
Os1 Os 0.000 0.000 0.500
Os2 Os 0.250 0.250 0.750
```

Values from the calculation:
Magnetic moment ... 1.3 μB/cell
Formation enthalpy at 0 K ... 0.11 eV per atom


No. 3
Al2CrOs: relaxed, GGA-PBE.

Structure (CIF):
```
data_Al2CrOs
_chemical_formula_sum 'Al4 Cr2 Os2'
_cell_length_a 3.002
_cell_length_b 4.482
_cell_length_c 8.271
_cell_angle_alpha 90.00
_cell_angle_beta 90.00
_cell_angle_gamma 90.00
_space_group_name_H-M_alt 'I m m m'
_space_group_IT_number 71
_space_group_name_Hall '-I 2 2'
loop_
_atom_site_label
_atom_site_type_symbol
_atom_site_fract_x
_atom_site_fract_y
_atom_site_fract_z
Al1 Al 0.000 0.000 0.249
Cr1 Cr 0.000 0.500 0.500
Os1 Os 0.000 0.500 0.000
```

Values from the calculation:
Magnetic moment ... 4.0 μB/cell
Formation enthalpy at 0 K ... -0.09 eV per atom
Polymorph energy (0 for the lowest one) ... 239.4 meV/atom


No. 4
Al2CrOs: relaxed, GGA-PBE.

Structure (CIF):
```
data_Al2CrOs
_chemical_formula_sum 'Al6 Cr3 Os3'
_cell_length_a 2.7696
_cell_length_b 2.7696
_cell_length_c 25.6445
_cell_angle_alpha 90.00
_cell_angle_beta 90.00
_cell_angle_gamma 120.00
_space_group_name_H-M_alt 'R 3 m'
_space_group_IT_number 160
_space_group_name_Hall 'R 3 -2"'
loop_
_atom_site_label
_atom_site_type_symbol
_atom_site_fract_x
_atom_site_fract_y
_atom_site_fract_z
Al1 Al 0.0000 0.0000 0.0000
Al2 Al 0.0000 0.0000 0.2427
Cr1 Cr 0.0000 0.0000 0.4948
Os1 Os 0.0000 0.0000 0.7514
```

Values from the calculation:
Magnetic moment ... 0.0 μB/cell
Formation enthalpy at 0 K ... -0.09 eV per atom
Polymorph energy (0 for the lowest one) ... 245.7 meV/atom


Which value of formation enthalpy at 0 K does entry 1 give? 0.18 eV per atom